Computed, not measured: a relaxed structure of SrAcTm at the GGA-PBE level of DFT.

abc: 8.3983 8.3983 8.3983
angles: 90.00 90.00 90.00
Space group F-43m (No. 216)
Symmetry-distinct sites (fractional):
Sr 0.0000 0.0000 0.0000
Ac 0.0000 0.0000 0.5000
Tm 0.2500 0.2500 0.7500

Values from the calculation:
The total energy comes out at -2.746 eV per atom. The value obtained for the energy above the lowest structure with this stoichiometry is 0.0 kJ/mol of atoms. As for the crystal system: cubic.

Computed, not measured: a relaxed structure of ZrReSi at the GGA-PBE level of DFT.

abc: 4.3328 4.3328 6.2186
angles: 90.00 90.00 120.00
Space group P6_3/mmc (No. 194)
Symmetry-distinct sites (fractional):
Zr 0.0000 0.0000 0.0000
Re 0.3333 0.6667 0.2500
Si 0.3333 0.6667 0.7500

Values from the calculation:
The total energy comes out at -9.062 eV per atom. As for the crystal system: hexagonal.

Please write out number 2 again, unchanged.
Computed, not measured: a relaxed structure of ZrReSi at the GGA-PBE level of DFT.

abc: 4.3328 4.3328 6.2186
angles: 90.00 90.00 120.00
Space group P6_3/mmc (No. 194)
Symmetry-distinct sites (fractional):
Zr 0.0000 0.0000 0.0000
Re 0.3333 0.6667 0.2500
Si 0.3333 0.6667 0.7500

Values from the calculation:
The total energy comes out at -9.062 eV per atom. As for the crystal system: hexagonal.